Compound: Ba2ZnCd2
Source: Alexandria via LeMat-Bulk
Functional: PBE
Structure: optimized geometry

Unit cell a=4.2285 b=4.2285 c=20.2110 alpha=90.00 beta=90.00 gamma=90.00
Last column: nearest neighbours and their distance in Å.
Space group I4/mmm (No. 139)
Symmetry-distinct sites (fractional):
1 Ba 0.0000 0.0000 0.0975 [4 per cell]  4 Zn 3.58, 4 Cd 3.74, 1 Ba 3.94
2 Zn 0.0000 0.0000 0.5000 [2 per cell]  8 Ba 3.58
3 Cd 0.0000 0.5000 0.2500 [4 per cell]  4 Cd 2.99

Calculated values
excess energy over the best structure of this formula in the dataset = 137 meV per atom
raw total energy = -1.51 eV per atom
ΔE_f = -0.12 eV per atom



Compound: GdPaIr
Source: Alexandria via LeMat-Bulk
Functional: PBE
Structure: optimized geometry

Unit cell a=4.8114 b=4.8114 c=3.2538 alpha=90.00 beta=90.00 gamma=120.00
Last column: nearest neighbours and their distance in Å.
Space group P3m1 (No. 156)
Symmetry-distinct sites (fractional):
1 Gd 0.0000 0.0000 0.0000 [1 per cell]  3 Pa 3.00, 3 Ir 3.04, 2 Gd 3.25
2 Pa 0.6667 0.3333 0.3479 [1 per cell]  3 Ir 2.91, 3 Gd 3.00, 2 Pa 3.25
3 Ir 0.3333 0.6667 0.6177 [1 per cell]  3 Pa 2.91, 3 Gd 3.04, 2 Ir 3.25

Calculated values
excess energy over the best structure of this formula in the dataset = 278 meV per atom
raw total energy = -11.04 eV per atom
ΔE_f = -0.23 eV per atom



Compound: PuTh2Si
Source: Alexandria via LeMat-Bulk
Functional: PBE
Structure: optimized geometry

Unit cell a=4.8561 b=4.8561 c=4.3005 alpha=90.00 beta=90.00 gamma=90.00
Last column: nearest neighbours and their distance in Å.
Space group P4/mmm (No. 123)
Symmetry-distinct sites (fractional):
1 Pu 0.0000 0.0000 0.0000 [1 per cell]  8 Th 3.24, 4 Si 3.43
2 Th 0.0000 0.5000 0.5000 [2 per cell]  4 Si 3.24, 4 Pu 3.24, 4 Th 3.43
3 Si 0.5000 0.5000 0.0000 [1 per cell]  8 Th 3.24, 4 Pu 3.43

Calculated values
excess energy over the best structure of this formula in the dataset = 0 meV per atom
raw total energy = -8.88 eV per atom



Compound: GdPu2Au
Source: Alexandria via LeMat-Bulk
Functional: PBE
Structure: optimized geometry

Unit cell a=7.3044 b=7.3044 c=7.3044 alpha=90.00 beta=90.00 gamma=90.00
Last column: nearest neighbours and their distance in Å.
Space group Fm-3m (No. 225)
Symmetry-distinct sites (fractional):
1 Gd 0.0000 0.0000 0.0000 [4 per cell]  8 Pu 3.16
2 Pu 0.2500 0.2500 0.2500 [8 per cell]  4 Gd 3.16, 4 Au 3.16
3 Au 0.0000 0.0000 0.5000 [4 per cell]  8 Pu 3.16

Calculated values
excess energy over the best structure of this formula in the dataset = 204 meV per atom
raw total energy = -11.49 eV per atom
ΔE_f = 0.02 eV per atom



Compound: SnOs
Source: Alexandria via LeMat-Bulk
Functional: PBE
Structure: optimized geometry

Unit cell a=5.9997 b=5.9997 c=5.9997 alpha=90.00 beta=90.00 gamma=90.00
Last column: nearest neighbours and their distance in Å.
Space group F-43m (No. 216)
Symmetry-distinct sites (fractional):
1 Sn 0.0000 0.0000 0.0000 [4 per cell]  4 Os 2.60
2 Os 0.2500 0.2500 0.7500 [4 per cell]  4 Sn 2.60

Calculated values
raw total energy = -6.17 eV per atom
ΔE_f = 1.44 eV per atom



Compound: Ti2Mn2Ni
Source: Alexandria via LeMat-Bulk
Functional: PBE
Structure: optimized geometry

Unit cell a=6.0428 b=6.0428 c=3.7291 alpha=90.00 beta=90.00 gamma=90.00
Last column: nearest neighbours and their distance in Å.
Space group P4/mbm (No. 127)
Symmetry-distinct sites (fractional):
1 Ti 0.1816 0.3184 0.0000 [4 per cell]  6 Mn 2.52-2.63
2 Mn 0.1204 0.6204 0.5000 [4 per cell]  1 Mn 2.06
3 Ni 0.0000 0.0000 0.5000 [2 per cell]  4 Mn 2.41

Calculated values
excess energy over the best structure of this formula in the dataset = 20 meV per atom
raw total energy = -8.04 eV per atom
ΔE_f = -0.06 eV per atom



Compound: HfH2Ir2
Source: Alexandria via LeMat-Bulk
Functional: PBE
Structure: optimized geometry

Unit cell a=6.1494 b=6.1494 c=3.1373 alpha=90.00 beta=90.00 gamma=90.00
Last column: nearest neighbours and their distance in Å.
Space group P4/mbm (No. 127)
Symmetry-distinct sites (fractional):
1 Hf 0.0000 0.0000 0.0000 [2 per cell]  4 H 2.17
2 H 0.2441 0.2559 0.0000 [4 per cell]  2 Ir 1.77
3 Ir 0.1509 0.3491 0.5000 [4 per cell]  2 H 1.77

Calculated values
excess energy over the best structure of this formula in the dataset = 0 meV per atom
raw total energy = -7.11 eV per atom



Compound: Zn2CuTc
Source: Alexandria via LeMat-Bulk
Functional: PBE
Structure: optimized geometry

Unit cell a=3.8688 b=3.8688 c=3.6388 alpha=90.00 beta=90.00 gamma=90.00
Last column: nearest neighbours and their distance in Å.
Space group P4/mmm (No. 123)
Symmetry-distinct sites (fractional):
1 Zn 0.0000 0.5000 0.0000 [2 per cell]  4 Tc 2.66, 4 Cu 2.66, 4 Zn 2.74
2 Cu 0.0000 0.0000 0.5000 [1 per cell]  8 Zn 2.66, 4 Tc 2.74
3 Tc 0.5000 0.5000 0.5000 [1 per cell]  8 Zn 2.66, 4 Cu 2.74

Calculated values
excess energy over the best structure of this formula in the dataset = 0 meV per atom
raw total energy = -4.25 eV per atom
ΔE_f = 0.01 eV per atom



Compound: Li4HoTm3Se8
Source: Alexandria via LeMat-Bulk
Functional: PBE
Structure: optimized geometry

Unit cell a=8.0555 b=8.0555 c=19.4636 alpha=90.00 beta=90.00 gamma=120.00
Last column: nearest neighbours and their distance in Å.
Space group R-3m (No. 166, hexagonal axes)
Symmetry-distinct sites (fractional):
1 Li 0.0000 0.0000 0.0000 [3 per cell]  6 Se 2.82
2 Li 0.0000 0.5000 0.0000 [9 per cell]  6 Se 2.83-2.84
3 Ho 0.0000 0.0000 0.5000 [3 per cell]  6 Se 2.85
4 Tm 0.0000 0.5000 0.5000 [9 per cell]  6 Se 2.83-2.84
5 Se 0.0000 0.0000 0.2501 [6 per cell]  3 Li 2.83, 3 Tm 2.84
6 Se 0.0017 0.5009 0.7496 [18 per cell]  3 Li 2.82-2.84, 2 Tm 2.83, 1 Ho 2.85

Calculated values
raw total energy = -5.04 eV per atom



Compound: TiVGa2
Source: Alexandria via LeMat-Bulk
Functional: PBE
Structure: optimized geometry

Unit cell a=2.8334 b=2.8334 c=26.7219 alpha=90.00 beta=90.00 gamma=120.00
Last column: nearest neighbours and their distance in Å.
Space group R3m (No. 160, hexagonal axes)
Symmetry-distinct sites (fractional):
1 Ti 0.0000 0.0000 0.0000 [3 per cell]  6 Ga 2.81-2.83, 6 Ti 2.83
2 V 0.0000 0.0000 0.1659 [3 per cell]  6 Ga 2.70-2.71, 6 V 2.83
3 Ga 0.0000 0.0000 0.4187 [3 per cell]  3 V 2.70, 3 Ti 2.81, 6 Ga 2.83
4 Ga 0.0000 0.0000 0.5802 [3 per cell]  3 V 2.71, 3 Ti 2.83, 6 Ga 2.83

Calculated values
excess energy over the best structure of this formula in the dataset = 154 meV per atom
raw total energy = -5.95 eV per atom
ΔE_f = -0.18 eV per atom



Compound: SmGaGePt3
Source: Alexandria via LeMat-Bulk
Functional: PBE
Structure: optimized geometry

Unit cell a=6.8639 b=12.0520 c=5.6505 alpha=90.00 beta=90.00 gamma=90.00
Last column: nearest neighbours and their distance in Å.
Space group Cmcm (No. 63)
Symmetry-distinct sites (fractional):
1 Sm 0.0000 0.2037 0.2500 [4 per cell]  2 Ge 2.96, 1 Ga 2.99, 6 Pt 3.17-3.21
2 Ga 0.0000 0.4517 0.2500 [4 per cell]  5 Pt 2.52-2.63
3 Ge 0.0000 0.1297 0.7500 [4 per cell]  5 Pt 2.42-2.55
4 Pt 0.0000 0.3302 0.7500 [4 per cell]  1 Ge 2.42, 1 Ga 2.63
5 Pt 0.2085 0.0000 0.0000 [8 per cell]  2 Ga 2.52, 2 Ge 2.55

Calculated values
raw total energy = -5.79 eV per atom
ΔE_f = -0.71 eV per atom



Compound: Tb5PmTh4
Source: Alexandria via LeMat-Bulk
Functional: PBE
Structure: optimized geometry

Unit cell a=15.4884 b=3.5878 c=11.8536 alpha=90.00 beta=102.37 gamma=90.00
Last column: nearest neighbours and their distance in Å.
Space group C2/m (No. 12)
Symmetry-distinct sites (fractional):
1 Tb 0.0000 0.0000 0.0000 [2 per cell]  6 Th 3.53-3.56, 6 Tb 3.56-3.59
2 Tb 0.1015 0.5000 0.8040 [4 per cell]  5 Th 3.52-3.58, 6 Tb 3.56-3.63, 1 Pm 3.61
3 Tb 0.2045 0.0000 0.6017 [4 per cell]  4 Th 3.50-3.63, 6 Tb 3.53-3.63, 2 Pm 3.62
4 Pm 0.0000 0.5000 0.5000 [2 per cell]  2 Pm 3.59, 6 Tb 3.61-3.62, 4 Th 3.61
5 Th 0.1002 0.0000 0.2967 [4 per cell]  6 Tb 3.50-3.63, 4 Th 3.54-3.59, 2 Pm 3.61
6 Th 0.2000 0.5000 0.1005 [4 per cell]  6 Tb 3.52-3.56, 6 Th 3.54-3.59

Calculated values
raw total energy = -5.72 eV per atom
ΔE_f = 0.03 eV per atom